Record 1
# NpCdGeAu

A relaxed NpCdGeAu crystal (PBE, the Alexandria database).

abc: 4.9472 4.9472 4.9472
angles: 60.00 60.00 60.00
Last column: nearest neighbours and their distance in Å.
Fractional positions:
Cd1 0.0000 0.0000 0.0000  4 Ge 3.03, 4 Au 3.03
Ge1 0.2500 0.2500 0.2500  4 Cd 3.03, 4 Np 3.03
Au1 0.7500 0.7500 0.7500  4 Cd 3.03, 4 Np 3.03
Np1 0.5000 0.5000 0.5000  4 Ge 3.03, 4 Au 3.03

Output
**Density**: 12.0 g cm⁻³
**Formation energy from the elements**: -110 meV per atom
**V**: 21.40 A^3/atom
**Energy**: -5.55 eV/atom

=====

Record 2
# CdGeOs2Au

A relaxed CdGeOs2Au crystal (PBE, the Alexandria database).

abc: 4.9633 4.9807 4.9633
angles: 90.00 90.00 90.00
Last column: nearest neighbours and their distance in Å.
Fractional positions:
Ge1 0.5000 0.5000 0.5000  4 Au 3.51, 8 Os 3.52
Os1 0.0000 0.0000 0.5000  2 Cd 2.48
Os2 0.5000 0.0000 0.0000  2 Cd 2.48
Cd1 0.0000 0.0000 0.0000  4 Os 2.48, 2 Au 2.49
Au1 0.0000 0.5000 0.0000  2 Cd 2.49

Output
**Density**: 10.3 g cm⁻³
**Formation energy from the elements**: 2401 meV per atom
**V**: 24.54 A^3/atom
**Energy**: -3.85 eV/atom

=====

Record 3
# CdGe2PbAu

A relaxed CdGe2PbAu crystal (PBE, the Alexandria database).

abc: 5.5205 5.3152 5.5205
angles: 90.00 90.00 90.00
Last column: nearest neighbours and their distance in Å.
Fractional positions:
Ge1 0.0000 0.0000 0.5000  2 Pb 2.76
Ge2 0.5000 0.0000 0.0000  2 Pb 2.76
Pb1 0.0000 0.0000 0.0000  2 Au 2.66, 4 Ge 2.76
Au1 0.0000 0.5000 0.0000  2 Pb 2.66
Cd1 0.5000 0.5000 0.5000  8 Ge 3.83, 4 Au 3.90

Output
**Density**: 6.8 g cm⁻³
**Formation energy from the elements**: 863 meV per atom
**V**: 32.40 A^3/atom
**Energy**: -2.56 eV/atom

=====

Record 4
# CdGe2Pb2Au7

A relaxed CdGe2Pb2Au7 crystal (PBE, the Alexandria database).

abc: 4.3466 4.3466 13.8943
angles: 84.82 84.82 85.63
Last column: nearest neighbours and their distance in Å.
Fractional positions:
Au1 0.5394 0.0403 0.8519  2 Ge 2.62-2.63
Au2 0.9597 0.4606 0.1481  2 Ge 2.62-2.63
Au3 0.3364 0.3364 0.4424  1 Ge 2.59, 1 Au 2.78
Au4 0.6636 0.6636 0.5576  1 Ge 2.59, 1 Au 2.78
Au5 0.4606 0.9597 0.1481  2 Ge 2.62-2.63
Au6 0.5000 0.5000 0.0000  4 Cd 2.95-3.19, 8 Au 2.98
Au7 0.0403 0.5394 0.8519  2 Ge 2.62-2.63
Pb1 0.9130 0.9130 0.3634  4 Au 2.96-3.17, 2 Ge 3.31
Pb2 0.0870 0.0870 0.6366  4 Au 2.96-3.17, 2 Ge 3.31
Ge1 0.5701 0.5701 0.7447  5 Au 2.59-2.63
Ge2 0.4299 0.4299 0.2553  5 Au 2.59-2.63
Cd1 0.0000 0.0000 0.0000  12 Au 2.95-3.19

Output
**Density**: 13.1 g cm⁻³
**Formation energy from the elements**: -32 meV per atom
**V**: 21.65 A^3/atom
**Energy**: -3.41 eV/atom

=====

> Which formula does entry 4 have?

CdGe2Pb2Au7

=====

> Among the records above, which one has the highest density?

CdGe2Pb2Au7

=====

> Which of these has the highest formation energy from the elements?

CdGeOs2Au

=====

> What is the formula in the third record?

CdGe2PbAu